1.
Density functional theory data (PBE) for a geometry-optimized H2RuW structure.

Final energy   -7.018 eV/atom
Energy above the lowest structure with this stoichiometry   0.000 eV per formula unit

a = 4.2013 Å, b = 4.2013 Å, c = 8.2267 Å
α = 90.00°, β = 90.00°, γ = 90.00°
With the nearest neighbours (Å) after each atom.
Space group I-42d (No. 122)
One atom of each set of equivalent atoms:
H (0.2337, 0.2500, 0.1250)  2 Ru 1.77, 2 W 1.85
Ru (0.0000, 0.0000, 0.0000)  4 H 1.77
W (0.0000, 0.0000, 0.5000)  4 H 1.85

***

2.
Density functional theory data (PBE) for a geometry-optimized Be2TlZnNi structure.

Final energy   -2.647 eV/atom

a = 4.2119 Å, b = 4.2119 Å, c = 4.5710 Å
α = 90.00°, β = 90.00°, γ = 90.00°
With the nearest neighbours (Å) after each atom.
Space group P4/mmm (No. 123)
One atom of each set of equivalent atoms:
Be (0.0000, 0.5000, 0.0000)  2 Zn 2.11
Tl (0.0000, 0.0000, 0.5000)  4 Ni 2.98, 8 Be 3.11
Zn (0.5000, 0.5000, 0.0000)  4 Be 2.11, 2 Ni 2.29
Ni (0.5000, 0.5000, 0.5000)  2 Zn 2.29